No. 1
First-principles (SCAN) data for a crystal of FeTc2Os relaxed with PBEsol, as listed in the Alexandria database.

The calculation puts the total energy at -39.78 eV per atom. As for the total magnetization: 3.177 μB per formula unit. The density of states at the Fermi level comes out at 8.086 states/eV/cell. Its energy of formation from the pure elements is 0.252 eV/atom.

The structure belongs to space group Cmm2 (No. 35); the cell edges are 2.846, 4.389 and 8.701 Å and the angles 90.00°, 90.00° and 90.00°. The asymmetric unit holds Fe at (0.000, 0.000, 0.000), Tc at (0.000, 0.000, 0.504), Tc at (0.000, 0.500, 0.758) and Os at (0.000, 0.500, 0.244).



No. 2
First-principles (SCAN) data for a crystal of SrBe2CuHg relaxed with PBEsol, as listed in the Alexandria database.

The calculation puts the total energy at -22.68 eV per atom. As for the total magnetization: 0.000 μB per formula unit. The density of states at the Fermi level comes out at 2.349 states/eV/cell. Its energy of formation from the pure elements is 0.192 eV/atom.

The structure belongs to space group P4/mmm (No. 123); the cell edges are 4.405, 4.405 and 4.893 Å and the angles 90.00°, 90.00° and 90.00°. The asymmetric unit holds Sr at (0.000, 0.000, 0.000), Be at (0.000, 0.500, 0.500), Cu at (0.500, 0.500, 0.500) and Hg at (0.500, 0.500, 0.000).



No. 3
First-principles (SCAN) data for a crystal of MgSeSN2 relaxed with PBEsol, as listed in the Alexandria database.

The calculation puts the total energy at -9.76 eV per atom. For the uncorrected formation energy, the calculation gives 0.90 eV/atom. As for the total magnetization: 0.000 μB per formula unit. The density of states at the Fermi level comes out at 1.506 states/eV/cell.

The structure belongs to space group P4/mmm (No. 123); the cell edges are 3.675, 3.675 and 5.398 Å and the angles 90.00°, 90.00° and 90.00°. The asymmetric unit holds Mg at (0.000, 0.000, 0.000), Se at (0.500, 0.500, 0.500), S at (0.500, 0.500, 0.000) and N at (0.000, 0.500, 0.500).



No. 4
First-principles (SCAN) data for a crystal of MgScVS4 relaxed with PBEsol, as listed in the Alexandria database.

The calculation puts the total energy at -12.40 eV per atom. For the uncorrected formation energy, the calculation gives -1.65 eV/atom. As for the total magnetization: 2.000 μB per formula unit. The density of states at the Fermi level comes out at 1.928 states/eV/cell.

The structure belongs to space group Imma (No. 74); the cell edges are 7.328, 7.400 and 10.199 Å and the angles 90.00°, 90.00° and 90.00°. The asymmetric unit holds Mg at (0.000, 0.250, 0.129), Sc at (0.000, 0.000, 0.500), V at (0.250, 0.250, 0.750), S at (0.000, 0.033, 0.750) and S at (0.237, 0.250, 0.512).



No. 5
First-principles (SCAN) data for a crystal of BaTaTl2 relaxed with PBEsol, as listed in the Alexandria database.

The calculation puts the total energy at -62.24 eV per atom. As for the total magnetization: 0.000 μB per formula unit. The density of states at the Fermi level comes out at 2.716 states/eV/cell. Its energy of formation from the pure elements is 0.469 eV/atom.

The structure belongs to space group P4mm (No. 99); the cell edges are 3.900, 3.900 and 7.852 Å and the angles 90.00°, 90.00° and 90.00°. The asymmetric unit holds Ba at (0.000, 0.000, 0.000), Ta at (0.500, 0.500, 0.339), Tl at (0.000, 0.000, 0.420) and Tl at (0.500, 0.500, 0.693).



No. 6
First-principles (SCAN) data for a crystal of LaInCu relaxed with PBEsol, as listed in the Alexandria database.

The calculation puts the total energy at -31.02 eV per atom. As for the total magnetization: 0.000 μB per formula unit. The density of states at the Fermi level comes out at 1.621 states/eV/cell. Its energy of formation from the pure elements is -0.454 eV/atom.

The structure belongs to space group P-6m2 (No. 187); the cell edges are 4.6923, 4.6923 and 3.6956 Å and the angles 90.00°, 90.00° and 120.00°. The asymmetric unit holds La at (0.0000, 0.0000, 0.0000), In at (0.6667, 0.3333, 0.5000) and Cu at (0.3333, 0.6667, 0.5000).



No. 7
First-principles (SCAN) data for a crystal of HfPtC2 relaxed with PBEsol, as listed in the Alexandria database.

The calculation puts the total energy at -37.40 eV per atom. As for the total magnetization: 0.000 μB per formula unit. The density of states at the Fermi level comes out at 10.682 states/eV/cell. Its energy of formation from the pure elements is 0.866 eV/atom.

The structure belongs to space group Fm-3m (No. 225); the cell edges are 5.616, 5.616 and 5.616 Å and the angles 90.00°, 90.00° and 90.00°. The asymmetric unit holds Hf at (0.000, 0.000, 0.000), Pt at (0.000, 0.000, 0.500) and C at (0.250, 0.250, 0.250).



No. 8
First-principles (SCAN) data for a crystal of KLi2Al relaxed with PBEsol, as listed in the Alexandria database.

The calculation puts the total energy at -5.09 eV per atom. As for the total magnetization: 0.000 μB per formula unit. The density of states at the Fermi level comes out at 0.910 states/eV/cell. Its energy of formation from the pure elements is 0.123 eV/atom.

The structure belongs to space group P4/mmm (No. 123); the cell edges are 3.465, 3.465 and 8.494 Å and the angles 90.00°, 90.00° and 90.00°. The asymmetric unit holds K at (0.000, 0.000, 0.000), Li at (0.500, 0.500, 0.336) and Al at (0.000, 0.000, 0.500).



No. 9
First-principles (SCAN) data for a crystal of Te2RhBr relaxed with PBEsol, as listed in the Alexandria database.

The calculation puts the total energy at -32.33 eV per atom. For the uncorrected formation energy, the calculation gives -0.40 eV/atom. As for the total magnetization: 0.000 μB per formula unit. The density of states at the Fermi level comes out at 6.989 states/eV/cell.

The structure belongs to space group R-3m (No. 166, hexagonal axes); the cell edges are 3.9028, 3.9028 and 22.3064 Å and the angles 90.00°, 90.00° and 120.00°. The asymmetric unit holds Te at (0.0000, 0.0000, 0.2269), Rh at (0.0000, 0.0000, 0.5000) and Br at (0.0000, 0.0000, 0.0000).



No. 10
First-principles (SCAN) data for a crystal of SiNiRh relaxed with PBEsol, as listed in the Alexandria database.

The calculation puts the total energy at -20.69 eV per atom. For the uncorrected formation energy, the calculation gives -0.70 eV/atom. As for the total magnetization: 0.000 μB per formula unit. The density of states at the Fermi level comes out at 5.625 states/eV/cell.

The structure belongs to space group F-43m (No. 216); the cell edges are 5.404, 5.404 and 5.404 Å and the angles 90.00°, 90.00° and 90.00°. The asymmetric unit holds Si at (0.000, 0.000, 0.000), Ni at (0.250, 0.250, 0.250) and Rh at (0.250, 0.250, 0.750).



No. 11
First-principles (SCAN) data for a crystal of Ba2HgBi2 relaxed with PBEsol, as listed in the Alexandria database.

The calculation puts the total energy at -61.66 eV per atom. As for the total magnetization: 0.000 μB per formula unit. The density of states at the Fermi level comes out at 3.657 states/eV/cell. Its energy of formation from the pure elements is -0.778 eV/atom.

The structure belongs to space group P4/mbm (No. 127); the cell edges are 8.721, 8.721 and 4.935 Å and the angles 90.00°, 90.00° and 90.00°. The asymmetric unit holds Ba at (0.179, 0.321, 0.000), Hg at (0.000, 0.000, 0.500) and Bi at (0.122, 0.622, 0.500).



No. 12
First-principles (SCAN) data for a crystal of CuTe3H relaxed with PBEsol, as listed in the Alexandria database.

The calculation puts the total energy at -25.25 eV per atom. As for the total magnetization: 1.152 μB per formula unit. The density of states at the Fermi level comes out at 3.534 states/eV/cell.

The structure belongs to space group Pm-3m (No. 221); the cell edges are 5.111, 5.111 and 5.111 Å and the angles 90.00°, 90.00° and 90.00°. The asymmetric unit holds Cu at (0.000, 0.000, 0.000), Te at (0.000, 0.000, 0.500) and H at (0.500, 0.500, 0.500).